No. 1
VASP calculation (PBE) on a relaxed RbSmSeO crystal.

Output
Its total energy is -5.717 eV/atom. The spin magnetization comes out at 0.00 μB/atom. Its distance to the lowest polymorph of the same formula is 0 kJ/mol of formula units.

```
data_RbSmSeO
_chemical_formula_sum 'Rb4 Sm4 Se4 O4'
_symmetry_space_group_name_H-M 'C 1 2 1'
_symmetry_Int_Tables_number 5
_symmetry_space_group_name_Hall 'C 2y'
_cell_length_a 5.948
_cell_length_b 5.945
_cell_length_c 12.103
_cell_angle_alpha 90.00
_cell_angle_beta 103.64
_cell_angle_gamma 90.00
loop_
_atom_site_label
_atom_site_fract_x
_atom_site_fract_y
_atom_site_fract_z
Rb1 0.207 0.000 0.396
Sm1 0.205 0.271 0.910
Se1 0.153 0.500 0.278
O1 0.000 0.022 0.000
O2 0.000 0.523 0.000
```


No. 2
VASP calculation (PBE) on a relaxed RbSmSeO crystal.

Output
Its total energy is -5.626 eV/atom. The spin magnetization comes out at 0.00 μB/atom. Its distance to the lowest polymorph of the same formula is 35 kJ/mol of formula units.

```
data_RbSmSeO
_chemical_formula_sum 'Rb2 Sm2 Se2 O2'
_symmetry_space_group_name_H-M 'P m c 21'
_symmetry_Int_Tables_number 26
_symmetry_space_group_name_Hall 'P 2c -2'
_cell_length_a 4.680
_cell_length_b 8.513
_cell_length_c 6.821
_cell_angle_alpha 90.00
_cell_angle_beta 90.00
_cell_angle_gamma 90.00
loop_
_atom_site_label
_atom_site_fract_x
_atom_site_fract_y
_atom_site_fract_z
Rb1 0.000 0.199 0.000
Sm1 0.500 0.379 0.426
Se1 0.000 0.203 0.509
O1 0.500 0.415 0.111
```


No. 3
VASP calculation (PBE) on a relaxed Rb2Zn3Se4O12 crystal.

Output
Its total energy is -4.984 eV/atom.

```
data_Rb2Zn3Se4O12
_chemical_formula_sum 'Rb8 Zn12 Se16 O48'
_symmetry_space_group_name_H-M 'P 1 21/c 1'
_symmetry_Int_Tables_number 14
_symmetry_space_group_name_Hall '-P 2ybc'
_cell_length_a 14.036
_cell_length_b 6.987
_cell_length_c 14.460
_cell_angle_alpha 90.00
_cell_angle_beta 94.25
_cell_angle_gamma 90.00
loop_
_atom_site_label
_atom_site_fract_x
_atom_site_fract_y
_atom_site_fract_z
Rb1 0.002 0.138 0.162
Rb2 0.496 0.161 0.170
Zn1 0.106 0.661 0.077
Zn2 0.259 0.609 0.770
Zn3 0.386 0.631 0.076
Se1 0.120 0.130 0.405
Se2 0.245 0.057 0.727
Se3 0.256 0.006 0.047
Se4 0.382 0.178 0.405
O1 0.014 0.239 0.368
O2 0.081 0.583 0.946
O3 0.142 0.569 0.564
O4 0.154 0.066 0.297
O5 0.175 0.068 0.624
O6 0.196 0.642 0.278
O7 0.308 0.691 0.499
O8 0.310 0.006 0.159
O9 0.354 0.533 0.200
O10 0.375 0.544 0.852
O11 0.402 0.123 0.520
O12 0.493 0.240 0.878
```


No. 4
VASP calculation (PBE) on a relaxed Rb2SmO2 crystal.

Output
Its total energy is -5.083 eV/atom. The spin magnetization comes out at 0.01 μB/atom.

```
data_Rb2SmO2
_chemical_formula_sum 'Rb8 Sm4 O8'
_symmetry_space_group_name_H-M 'P 21 21 21'
_symmetry_Int_Tables_number 19
_symmetry_space_group_name_Hall 'P 2ac 2ab'
_cell_length_a 6.003
_cell_length_b 7.817
_cell_length_c 11.951
_cell_angle_alpha 90.00
_cell_angle_beta 90.00
_cell_angle_gamma 90.00
loop_
_atom_site_label
_atom_site_fract_x
_atom_site_fract_y
_atom_site_fract_z
Rb1 0.012 0.132 0.268
Rb2 0.018 0.127 0.581
Sm1 0.044 0.622 0.542
O1 0.007 0.413 0.435
O2 0.094 0.337 0.054
```


No. 5
VASP calculation (PBE) on a relaxed RbSmO3 crystal.

Output
Its total energy is -5.887 eV/atom. The spin magnetization comes out at 0.40 μB/atom.

```
data_RbSmO3
_chemical_formula_sum 'Rb6 Sm6 O18'
_symmetry_space_group_name_H-M 'R -3 c'
_symmetry_Int_Tables_number 167
_symmetry_space_group_name_Hall '-R 3 2"c'
_cell_length_a 6.4483
_cell_length_b 6.4483
_cell_length_c 15.5954
_cell_angle_alpha 90.00
_cell_angle_beta 90.00
_cell_angle_gamma 120.00
loop_
_atom_site_label
_atom_site_fract_x
_atom_site_fract_y
_atom_site_fract_z
Rb1 0.0000 0.0000 0.2500
Sm1 0.0000 0.0000 0.0000
O1 0.0000 0.4781 0.2500
```


No. 6
VASP calculation (PBE) on a relaxed RbSmO3 crystal.

Output
Its total energy is -5.614 eV/atom. The spin magnetization comes out at 0.01 μB/atom.

```
data_RbSmO3
_chemical_formula_sum 'Rb1 Sm1 O3'
_symmetry_space_group_name_H-M 'P 4 m m'
_symmetry_Int_Tables_number 99
_symmetry_space_group_name_Hall 'P 4 -2'
_cell_length_a 3.474
_cell_length_b 3.474
_cell_length_c 6.654
_cell_angle_alpha 90.00
_cell_angle_beta 90.00
_cell_angle_gamma 90.00
loop_
_atom_site_label
_atom_site_fract_x
_atom_site_fract_y
_atom_site_fract_z
Rb1 0.000 0.000 0.000
Sm1 0.500 0.500 0.511
O1 0.000 0.000 0.621
O2 0.000 0.500 0.285
```


No. 7
VASP calculation (PBE) on a relaxed RbSmO3 crystal.

Output
Its total energy is -5.886 eV/atom. The spin magnetization comes out at 0.40 μB/atom.

```
data_RbSmO3
_chemical_formula_sum 'Rb1 Sm1 O3'
_symmetry_space_group_name_H-M 'P 4 m m'
_symmetry_Int_Tables_number 99
_symmetry_space_group_name_Hall 'P 4 -2'
_cell_length_a 4.526
_cell_length_b 4.526
_cell_length_c 4.533
_cell_angle_alpha 90.00
_cell_angle_beta 90.00
_cell_angle_gamma 90.00
loop_
_atom_site_label
_atom_site_fract_x
_atom_site_fract_y
_atom_site_fract_z
Rb1 0.000 0.000 0.000
Sm1 0.500 0.500 0.498
O1 0.000 0.500 0.504
O2 0.500 0.500 0.998
```


No. 8
VASP calculation (PBE) on a relaxed RbSmO3 crystal.

Output
Its total energy is -5.403 eV/atom. The spin magnetization comes out at 0.40 μB/atom.

```
data_RbSmO3
_chemical_formula_sum 'Rb6 Sm6 O18'
_symmetry_space_group_name_H-M 'R -3 c'
_symmetry_Int_Tables_number 167
_symmetry_space_group_name_Hall '-R 3 2"c'
_cell_length_a 6.7749
_cell_length_b 6.7749
_cell_length_c 14.2489
_cell_angle_alpha 90.00
_cell_angle_beta 90.00
_cell_angle_gamma 120.00
loop_
_atom_site_label
_atom_site_fract_x
_atom_site_fract_y
_atom_site_fract_z
Rb1 0.0000 0.0000 0.0000
Sm1 0.0000 0.0000 0.2500
O1 0.0000 0.3192 0.2500
```


No. 9
VASP calculation (PBE) on a relaxed RbSmO3 crystal.

Output
Its total energy is -5.876 eV/atom. The spin magnetization comes out at 0.40 μB/atom.

```
data_RbSmO3
_chemical_formula_sum 'Rb6 Sm6 O18'
_symmetry_space_group_name_H-M 'R -3'
_symmetry_Int_Tables_number 148
_symmetry_space_group_name_Hall '-R 3'
_cell_length_a 6.6054
_cell_length_b 6.6054
_cell_length_c 15.7975
_cell_angle_alpha 90.00
_cell_angle_beta 90.00
_cell_angle_gamma 120.00
loop_
_atom_site_label
_atom_site_fract_x
_atom_site_fract_y
_atom_site_fract_z
Rb1 0.0000 0.0000 0.1196
Sm1 0.0000 0.0000 0.3517
O1 0.0260 0.5875 0.9294
```


No. 10
VASP calculation (PBE) on a relaxed RbSmO3 crystal.

Output
Its total energy is -5.800 eV/atom. The spin magnetization comes out at 0.40 μB/atom.

```
data_RbSmO3
_chemical_formula_sum 'Rb4 Sm4 O12'
_symmetry_space_group_name_H-M 'P n m a'
_symmetry_Int_Tables_number 62
_symmetry_space_group_name_Hall '-P 2ac 2n'
_cell_length_a 6.107
_cell_length_b 10.798
_cell_length_c 6.170
_cell_angle_alpha 90.00
_cell_angle_beta 90.00
_cell_angle_gamma 90.00
loop_
_atom_site_label
_atom_site_fract_x
_atom_site_fract_y
_atom_site_fract_z
Rb1 0.000 0.000 0.000
Sm1 0.012 0.250 0.461
O1 0.230 0.750 0.244
O2 0.242 0.643 0.744
```


No. 11
VASP calculation (PBE) on a relaxed RbSmO3 crystal.

Output
Its total energy is -5.888 eV/atom. The spin magnetization comes out at 0.40 μB/atom.

```
data_RbSmO3
_chemical_formula_sum 'Rb4 Sm4 O12'
_symmetry_space_group_name_H-M 'P n m a'
_symmetry_Int_Tables_number 62
_symmetry_space_group_name_Hall '-P 2ac 2n'
_cell_length_a 6.444
_cell_length_b 9.086
_cell_length_c 6.414
_cell_angle_alpha 90.00
_cell_angle_beta 90.00
_cell_angle_gamma 90.00
loop_
_atom_site_label
_atom_site_fract_x
_atom_site_fract_y
_atom_site_fract_z
Rb1 0.001 0.250 0.001
Sm1 0.000 0.000 0.500
O1 0.001 0.750 0.489
O2 0.244 0.505 0.757
```


No. 12
VASP calculation (PBE) on a relaxed RbTaO3 crystal.

Output
Its total energy is -8.146 eV/atom. The spin magnetization comes out at 0.00 μB/atom.

```
data_RbTaO3
_chemical_formula_sum 'Rb6 Ta6 O18'
_symmetry_space_group_name_H-M 'R -3'
_symmetry_Int_Tables_number 148
_symmetry_space_group_name_Hall '-R 3'
_cell_length_a 5.4975
_cell_length_b 5.4975
_cell_length_c 18.6075
_cell_angle_alpha 90.00
_cell_angle_beta 90.00
_cell_angle_gamma 120.00
loop_
_atom_site_label
_atom_site_fract_x
_atom_site_fract_y
_atom_site_fract_z
Rb1 0.0000 0.0000 0.1356
Ta1 0.0000 0.0000 0.3401
O1 0.0055 0.4341 0.9370
```


Please write out number 11 again, unchanged.
VASP calculation (PBE) on a relaxed RbSmO3 crystal.

Output
Its total energy is -5.888 eV/atom. The spin magnetization comes out at 0.40 μB/atom.

```
data_RbSmO3
_chemical_formula_sum 'Rb4 Sm4 O12'
_symmetry_space_group_name_H-M 'P n m a'
_symmetry_Int_Tables_number 62
_symmetry_space_group_name_Hall '-P 2ac 2n'
_cell_length_a 6.444
_cell_length_b 9.086
_cell_length_c 6.414
_cell_angle_alpha 90.00
_cell_angle_beta 90.00
_cell_angle_gamma 90.00
loop_
_atom_site_label
_atom_site_fract_x
_atom_site_fract_y
_atom_site_fract_z
Rb1 0.001 0.250 0.001
Sm1 0.000 0.000 0.500
O1 0.001 0.750 0.489
O2 0.244 0.505 0.757
```